No. 1
Entry from Alexandria: a geometry-optimized AcAlOs structure (PBE-GGA).

Magnetic moment, Bohr magnetons per cell: 0.00
SG: I4mm
N(E_F), states/eV/f.u.: 0.71
Formation enthalpy at 0 K, meV per atom: -33.4
Uncorrected energy, eV per atom: -6.39
ΔE to the lowest computed polymorph, eV/atom: 0.247

Geometry as extended XYZ:
```
3
Lattice="-1.683 1.683 5.860 1.683 -1.683 5.860 1.683 1.683 -5.860" Properties=species:S:1:pos:R:3 pbc="T T T"
Ac 0.000 0.000 0.000
Al 0.000 0.000 3.207
Os 0.000 0.000 8.005
```

***

No. 2
Entry from Alexandria: a geometry-optimized Ac2AlOs structure (PBE-GGA).

Magnetic moment, Bohr magnetons per cell: 0.00
SG: Cm
N(E_F), states/eV/f.u.: 3.94
Formation enthalpy at 0 K, meV per atom: -213.9
Uncorrected energy, eV per atom: -6.01

Geometry as extended XYZ:
```
4
Lattice="3.814 -2.196 0.000 3.814 2.196 0.000 -2.526 0.000 7.648" Properties=species:S:1:pos:R:3 pbc="T T T"
Ac 0.000 0.000 0.000
Ac 0.002 0.000 4.033
Al 2.540 0.000 2.010
Os 5.079 0.000 2.025
```

***

No. 3
Entry from Alexandria: a geometry-optimized Ac2Al3Os structure (PBE-GGA).

Magnetic moment, Bohr magnetons per cell: 0.00
SG: R-3m
N(E_F), states/eV/f.u.: 5.41
Formation enthalpy at 0 K, meV per atom: -235.3
Uncorrected energy, eV per atom: -5.35

Geometry as extended XYZ:
```
6
Lattice="2.884 1.665 4.672 -2.884 1.665 4.672 0.000 -3.330 4.672" Properties=species:S:1:pos:R:3 pbc="T T T"
Ac 0.000 0.000 1.783
Ac 0.000 0.000 12.233
Al -1.442 -0.833 4.672
Al -1.442 0.833 9.344
Al 0.000 1.665 4.672
Os 0.000 0.000 7.008
```

***

No. 4
Entry from Alexandria: a geometry-optimized Ac4AlOs structure (PBE-GGA).

Magnetic moment, Bohr magnetons per cell: 0.00
SG: C2/c
N(E_F), states/eV/f.u.: 5.90
Formation enthalpy at 0 K, meV per atom: -88.2
Uncorrected energy, eV per atom: -5.32

Geometry as extended XYZ:
```
12
Lattice="4.644 -7.114 0.000 4.644 7.114 0.000 -2.081 0.000 6.300" Properties=species:S:1:pos:R:3 pbc="T T T"
Ac 1.628 4.705 5.998
Ac 1.386 1.048 3.842
Ac 4.540 4.705 3.452
Ac 2.427 -1.048 0.692
Ac 4.781 1.048 5.607
Ac 2.668 -4.705 2.848
Ac 5.822 -1.048 2.457
Ac 5.580 -4.705 0.302
Al 4.124 1.760 1.575
Al 3.084 -1.760 4.725
Os 4.124 7.107 1.575
Os 3.084 -7.107 4.725
```

***

No. 5
Entry from Alexandria: a geometry-optimized AcAlOs structure (PBE-GGA).

Magnetic moment, Bohr magnetons per cell: 0.00
SG: P2_1/m
N(E_F), states/eV/f.u.: 1.83
Formation enthalpy at 0 K, meV per atom: -280.8
Uncorrected energy, eV per atom: -6.64
ΔE to the lowest computed polymorph, eV/atom: 0.000

Geometry as extended XYZ:
```
6
Lattice="4.568 0.000 0.000 0.000 4.568 0.000 -0.012 0.000 7.325" Properties=species:S:1:pos:R:3 pbc="T T T"
Ac 1.137 1.142 1.491
Ac 3.420 3.426 5.833
Al 1.136 1.142 4.804
Al 3.420 3.426 2.520
Os 1.136 3.426 3.662
Os 3.420 1.142 3.662
```

***

No. 6
Entry from Alexandria: a geometry-optimized Ac3AlOs3 structure (PBE-GGA).

Magnetic moment, Bohr magnetons per cell: 0.00
SG: Cmcm
N(E_F), states/eV/f.u.: 4.23
Formation enthalpy at 0 K, meV per atom: -100.8
Uncorrected energy, eV per atom: -7.21

Geometry as extended XYZ:
```
14
Lattice="2.287 -5.741 0.000 2.287 5.741 0.000 0.000 0.000 13.719" Properties=species:S:1:pos:R:3 pbc="T T T"
Ac 2.287 5.411 10.290
Ac 2.287 2.698 1.471
Ac 2.287 2.698 5.388
Ac 2.287 -2.698 8.331
Ac 2.287 -2.698 12.248
Ac 2.287 -5.411 3.430
Al 0.000 0.000 0.000
Al 0.000 0.000 6.860
Os 2.287 1.710 10.290
Os 2.287 0.671 8.020
Os 2.287 0.671 12.559
Os 2.287 -0.671 1.161
Os 2.287 -0.671 5.699
Os 2.287 -1.710 3.430
```